(1)
The following is a PBE calculation of Er5Ge5Rh2 after structural relaxation, from Alexandria via LeMat-Bulk.

Geometry as extended XYZ:
```
12
Lattice="4.113 0.000 0.928 2.065 7.532 0.427 0.294 -0.521 8.276" Properties=species:S:1:pos:R:3 pbc="T T T"
Er 1.180 3.506 4.352
Er 4.554 4.651 8.553
Er 3.555 6.932 3.404
Er 2.918 0.080 6.227
Er 1.918 2.360 1.078
Ge 3.514 1.493 3.582
Ge 4.755 1.781 7.661
Ge 1.717 5.231 1.970
Ge 2.958 5.519 6.049
Ge 0.000 0.000 0.000
Rh 2.799 3.086 6.752
Rh 3.673 3.926 2.879
```

Results
- theoretical density (Mg/m³) = 9.18
- energy of formation (eV/atom) = -0.827

(2)
The following is a PBE calculation of Er2Ge3Rh after structural relaxation, from Alexandria via LeMat-Bulk.

Geometry as extended XYZ:
```
6
Lattice="4.021 0.000 1.684 1.748 5.115 1.467 -0.030 0.025 5.714" Properties=species:S:1:pos:R:3 pbc="T T T"
Er 2.514 1.002 5.282
Er 3.170 4.145 3.716
Ge 4.523 3.116 6.128
Ge 3.703 1.253 2.442
Ge 1.964 3.931 6.594
Rh 1.343 1.973 2.435
```

Results
- theoretical density (Mg/m³) = 9.25
- energy of formation (eV/atom) = -0.763

(3)
The following is a PBE calculation of ErGe7Rh3 after structural relaxation, from Alexandria via LeMat-Bulk.

Geometry as extended XYZ:
```
22
Lattice="-0.490 6.977 3.728 4.679 1.509 6.216 6.188 5.430 -0.924" Properties=species:S:1:pos:R:3 pbc="T T T"
Er 5.188 6.958 4.510
Er 0.000 0.000 0.000
Ge 2.541 6.976 2.574
Ge 6.467 4.016 5.195
Ge 5.222 9.158 6.944
Ge 3.201 7.296 7.052
Ge 4.265 4.730 6.679
Ge 2.247 5.672 4.976
Ge 7.836 6.941 6.447
Ge 3.910 9.900 3.826
Ge 5.155 4.759 2.077
Ge 7.176 6.620 1.969
Ge 6.112 9.187 2.342
Ge 8.129 8.245 4.044
Ge 7.783 10.437 6.765
Ge 2.594 3.479 2.255
Rh 4.753 7.183 1.343
Rh 8.117 5.687 4.227
Rh 6.289 9.956 4.782
Rh 5.624 6.733 7.677
Rh 2.260 8.230 4.793
Rh 4.088 3.961 4.239
```

Results
- theoretical density (Mg/m³) = 8.70
- energy of formation (eV/atom) = -0.517

(4)
The following is a PBE calculation of Er2GeRh after structural relaxation, from Alexandria via LeMat-Bulk.

Geometry as extended XYZ:
```
4
Lattice="3.622 0.000 0.000 0.000 4.786 0.000 0.000 0.000 4.786" Properties=species:S:1:pos:R:3 pbc="T T T"
Ge 1.811 0.000 0.000
Rh 1.811 2.393 2.393
Er 0.000 0.000 2.393
Er 0.000 2.393 0.000
```

Results
- theoretical density (Mg/m³) = 10.21
- energy of formation (eV/atom) = -0.797

(5)
The following is a PBE calculation of ErGeRh2 after structural relaxation, from Alexandria via LeMat-Bulk.

Geometry as extended XYZ:
```
8
Lattice="-0.735 4.186 -0.355 -1.652 -2.705 -2.855 -7.423 -0.870 5.118" Properties=species:S:1:pos:R:3 pbc="T T T"
Ge 0.000 0.000 0.000
Ge -3.711 -0.435 2.559
Rh -8.185 -1.209 2.694
Rh -1.625 1.821 -0.785
Rh -4.168 1.523 0.968
Rh -5.642 -0.911 0.941
Er -3.202 -0.625 -0.742
Er -6.608 1.237 2.651
```

Results
- theoretical density (Mg/m³) = 10.37
- energy of formation (eV/atom) = -0.814

(6)
The following is a PBE calculation of ErGe2Rh4 after structural relaxation, from Alexandria via LeMat-Bulk.

Geometry as extended XYZ:
```
7
Lattice="-1.582 3.346 -0.879 -3.273 -1.846 -1.146 -2.128 3.172 7.697" Properties=species:S:1:pos:R:3 pbc="T T T"
Ge -4.091 2.590 0.767
Ge -2.891 2.083 4.905
Rh -1.526 1.818 1.437
Rh -5.456 2.855 4.236
Rh -3.882 1.032 2.692
Rh -3.099 3.641 2.980
Er 0.000 0.000 0.000
```

Results
- theoretical density (Mg/m³) = 9.88
- energy of formation (eV/atom) = -0.387

(7)
The following is a PBE calculation of Er3Ge4Rh7 after structural relaxation, from Alexandria via LeMat-Bulk.

Geometry as extended XYZ:
```
14
Lattice="3.931 0.000 0.992 1.425 7.350 2.638 0.008 0.071 8.254" Properties=species:S:1:pos:R:3 pbc="T T T"
Er 1.554 1.281 2.125
Er 3.809 6.140 9.759
Er 0.717 3.710 5.446
Ge 3.251 3.268 3.686
Ge 2.113 4.153 8.198
Ge 4.760 6.552 5.991
Ge 0.604 0.868 5.893
Rh 2.412 6.275 7.012
Rh 2.281 1.787 7.531
Rh 3.870 3.005 9.517
Rh 2.952 1.146 4.872
Rh 1.493 4.416 2.367
Rh 0.000 0.000 0.000
Rh 3.083 5.634 4.353
```

Results
- theoretical density (Mg/m³) = 10.56
- energy of formation (eV/atom) = -0.886

(8)
The following is a PBE calculation of ErGeRh2 after structural relaxation, from Alexandria via LeMat-Bulk.

Geometry as extended XYZ:
```
8
Lattice="5.129 0.189 -2.252 -2.085 4.690 -2.252 -0.113 -0.182 5.650" Properties=species:S:1:pos:R:3 pbc="T T T"
Er -0.416 3.648 -2.252
Er 3.460 1.231 -2.252
Ge 0.738 1.183 1.780
Ge 2.192 3.515 -0.634
Rh 0.837 1.342 -1.239
Rh 3.269 1.224 0.573
Rh 2.207 3.537 -3.265
Rh -0.338 3.474 0.573
```

Results
- theoretical density (Mg/m³) = 11.04
- energy of formation (eV/atom) = -0.775

(9)
The following is a PBE calculation of ErGe2Rh after structural relaxation, from Alexandria via LeMat-Bulk.

Geometry as extended XYZ:
```
8
Lattice="-0.602 -5.538 -1.356 4.981 2.454 -1.367 -0.244 0.189 6.021" Properties=species:S:1:pos:R:3 pbc="T T T"
Er 1.731 0.276 0.823
Er 2.403 -3.170 2.476
Ge 0.151 -2.537 0.460
Ge 2.573 -2.355 -0.498
Ge 3.984 -0.358 2.838
Ge 1.562 -0.540 3.796
Rh -0.450 -4.145 2.290
Rh 4.585 1.250 1.008
```

Results
- theoretical density (Mg/m³) = 9.01
- energy of formation (eV/atom) = -0.770

(10)
The following is a PBE calculation of Er2Ge4Rh5 after structural relaxation, from Alexandria via LeMat-Bulk.

Geometry as extended XYZ:
```
11
Lattice="5.631 0.000 0.000 2.815 4.743 0.000 2.815 0.000 7.385" Properties=species:S:1:pos:R:3 pbc="T T T"
Er 5.631 0.000 1.805
Er 2.815 0.000 5.580
Ge 5.631 1.473 5.447
Ge 5.631 3.270 1.938
Ge 2.815 1.473 1.938
Ge 8.446 3.270 5.447
Rh 2.815 0.000 0.000
Rh 1.408 2.372 0.000
Rh 4.223 2.372 0.000
Rh 4.223 2.372 3.693
Rh 7.038 2.372 3.693
```

Results
- theoretical density (Mg/m³) = 9.59
- energy of formation (eV/atom) = -0.755

(11)
The following is a PBE calculation of Er2GeRh after structural relaxation, from Alexandria via LeMat-Bulk.

Geometry as extended XYZ:
```
8
Lattice="-0.845 -1.390 3.830 2.752 -4.892 -1.169 4.809 5.481 3.050" Properties=species:S:1:pos:R:3 pbc="T T T"
Er 1.971 0.102 3.863
Er 4.745 -0.903 1.849
Er 2.245 -3.862 0.224
Er 4.471 3.061 5.488
Ge 2.643 -2.704 2.992
Ge 4.073 1.903 2.719
Rh 1.780 -0.925 1.187
Rh 4.935 0.125 4.525
```

Results
- theoretical density (Mg/m³) = 9.70
- energy of formation (eV/atom) = -0.881

(12)
The following is a PBE calculation of ErGe3Rh3 after structural relaxation, from Alexandria via LeMat-Bulk.

Geometry as extended XYZ:
```
14
Lattice="-3.633 3.445 4.740 -6.075 -2.456 2.142 -0.263 -2.955 6.960" Properties=species:S:1:pos:R:3 pbc="T T T"
Er -3.219 0.311 2.321
Er -6.752 -2.277 11.522
Ge -4.756 -1.690 4.181
Ge -4.499 1.775 6.456
Ge -7.810 -0.707 6.819
Ge -2.162 -1.260 7.024
Ge -5.472 -3.742 7.386
Ge -5.215 -0.277 9.662
Rh -6.628 -2.026 8.587
Rh -3.403 0.485 8.299
Rh -3.566 -2.911 6.013
Rh -6.406 0.944 7.830
Rh -6.568 -2.451 5.543
Rh -3.344 0.059 5.256
```

Results
- theoretical density (Mg/m³) = 8.70
- energy of formation (eV/atom) = -0.542

(13)
The following is a PBE calculation of ErGeRh2 after structural relaxation, from Alexandria via LeMat-Bulk.

Geometry as extended XYZ:
```
24
Lattice="-2.069 1.465 -4.938 0.678 -5.367 1.244 -14.390 -0.452 5.895" Properties=species:S:1:pos:R:3 pbc="T T T"
Er -7.983 -3.333 2.356
Er -7.798 -1.021 -0.155
Er -1.704 -0.830 -2.652
Er -14.077 -3.524 4.853
Er -11.030 -3.429 3.605
Er -4.751 -0.925 -1.404
Ge -3.597 -0.113 1.474
Ge -10.792 -0.339 4.422
Ge -3.835 -3.203 0.657
Ge -11.946 -1.151 1.544
Ge 0.000 0.000 0.000
Ge -7.195 -0.226 2.948
Rh -1.946 -1.616 0.336
Rh -13.835 -2.738 1.865
Rh -2.635 -3.550 -1.495
Rh -10.292 -2.627 0.413
Rh -13.146 -0.804 3.696
Rh -5.489 -1.727 1.788
Rh -1.610 -4.276 0.952
Rh -9.602 -0.693 2.244
Rh -14.171 -0.078 1.249
Rh -6.179 -3.661 -0.043
Rh -10.628 0.033 -0.203
Rh -5.153 -4.387 2.404
```

Results
- theoretical density (Mg/m³) = 10.70
- energy of formation (eV/atom) = -0.891

(14)
The following is a PBE calculation of ErGe2Rh4 after structural relaxation, from Alexandria via LeMat-Bulk.

Geometry as extended XYZ:
```
14
Lattice="3.873 0.000 0.000 0.000 7.700 0.000 0.000 0.000 7.700" Properties=species:S:1:pos:R:3 pbc="T T T"
Er 1.937 0.000 0.000
Er 0.000 3.850 3.850
Ge 0.000 1.746 5.954
Ge 0.000 5.954 1.746
Ge 1.937 5.597 5.597
Ge 1.937 2.104 2.104
Rh 0.000 0.582 2.578
Rh 0.000 7.118 5.122
Rh 1.937 1.272 4.433
Rh 1.937 6.429 3.268
Rh 1.937 3.268 6.429
Rh 1.937 4.433 1.272
Rh 0.000 2.578 0.582
Rh 0.000 5.122 7.118
```

Results
- theoretical density (Mg/m³) = 10.47
- energy of formation (eV/atom) = -0.692

(15)
The following is a PBE calculation of Er3Ge2Rh3 after structural relaxation, from Alexandria via LeMat-Bulk.

Geometry as extended XYZ:
```
32
Lattice="-0.194 1.141 -5.417 -7.134 -2.135 -0.195 -4.309 14.114 3.128" Properties=species:S:1:pos:R:3 pbc="T T T"
Er -5.128 4.706 0.406
Er -2.897 9.221 -1.554
Er -7.754 12.496 -1.987
Er -7.494 -0.181 -1.835
Er -6.508 8.415 -2.891
Er -8.739 3.900 -0.930
Er -3.882 0.625 -0.498
Er -4.143 13.302 -0.650
Er -3.571 3.508 -2.563
Er -4.442 10.350 1.742
Er -8.065 9.613 0.078
Er -7.194 2.771 -4.226
Ge -2.721 6.240 -3.505
Ge -5.394 8.218 -0.161
Ge -10.125 10.844 1.899
Ge -5.032 0.940 -3.202
Ge -8.915 6.881 1.021
Ge -6.242 4.904 -2.323
Ge -1.511 2.277 -4.383
Ge -6.604 12.181 0.717
Rh -2.430 3.268 0.093
Rh -5.589 10.625 -1.077
Rh -9.206 9.853 -2.577
Rh -6.047 2.496 -1.407
Rh -4.446 6.556 -1.802
Rh -3.561 7.267 1.149
Rh -9.052 12.664 0.669
Rh -6.213 -0.245 -4.984
Rh -7.190 6.565 -0.682
Rh -8.075 5.854 -3.633
Rh -2.584 0.457 -3.153
Rh -5.423 13.366 2.500
```

Results
- theoretical density (Mg/m³) = 10.20
- energy of formation (eV/atom) = -0.955

(16)
The following is a PBE calculation of Er3Ge2Rh7 after structural relaxation, from Alexandria via LeMat-Bulk.

Geometry as extended XYZ:
```
12
Lattice="-3.719 1.700 0.084 -1.457 -3.065 -2.445 -2.120 -5.198 11.358" Properties=species:S:1:pos:R:3 pbc="T T T"
Er -2.588 -0.682 -1.180
Er -3.598 -3.070 2.415
Er -3.697 -3.493 6.582
Ge -2.833 -6.504 6.264
Ge -0.745 -1.759 2.649
Rh -2.387 -5.639 8.492
Rh -2.297 -5.238 4.357
Rh 0.000 0.000 0.000
Rh -1.190 -2.624 0.421
Rh -2.314 -0.224 1.660
Rh -4.982 -6.338 7.338
Rh -1.281 -3.025 4.556
```

Results
- theoretical density (Mg/m³) = 10.62
- energy of formation (eV/atom) = -0.737

(17)
The following is a PBE calculation of ErGe3Rh2 after structural relaxation, from Alexandria via LeMat-Bulk.

Geometry as extended XYZ:
```
12
Lattice="-3.795 -1.588 -0.002 1.726 -4.120 -5.976 3.041 -1.947 7.628" Properties=species:S:1:pos:R:3 pbc="T T T"
Er 0.477 -1.141 1.306
Er 0.496 -6.514 0.344
Ge -0.686 -3.689 -0.027
Ge 0.757 -1.808 -1.810
Ge 0.994 -2.381 4.243
Ge -0.022 -5.274 -2.593
Ge 0.215 -5.846 3.460
Ge 1.659 -3.966 1.677
Rh -1.568 -1.580 -1.093
Rh 2.541 -6.075 2.743
Rh 1.698 -4.058 -1.003
Rh -0.726 -3.597 2.654
```

Results
- theoretical density (Mg/m³) = 9.21
- energy of formation (eV/atom) = -0.608

(18)
The following is a PBE calculation of Er4Ge6Rh7 after structural relaxation, from Alexandria via LeMat-Bulk.

Geometry as extended XYZ:
```
17
Lattice="-4.366 -2.795 -5.054 5.700 -4.362 0.945 -3.620 0.626 6.239" Properties=species:S:1:pos:R:3 pbc="T T T"
Er -1.810 0.313 3.119
Er 2.850 -2.181 0.472
Er -2.183 -1.397 -2.527
Er -1.143 -3.266 1.065
Ge 0.908 -4.871 -2.797
Ge -2.551 -0.693 0.378
Ge 0.664 -1.193 2.294
Ge 0.426 -2.286 -1.312
Ge -5.436 -1.476 0.806
Ge 1.416 -2.543 4.889
Rh -3.660 -2.874 -0.435
Rh -1.330 -4.121 -1.759
Rh -3.473 -2.019 2.388
Rh -0.956 -2.411 3.888
Rh 1.374 -3.658 2.564
Rh 1.187 -4.513 -0.259
Rh 0.000 0.000 0.000
```

Results
- theoretical density (Mg/m³) = 10.37
- energy of formation (eV/atom) = -0.962

(19)
The following is a PBE calculation of Er3Ge2Rh after structural relaxation, from Alexandria via LeMat-Bulk.

Geometry as extended XYZ:
```
24
Lattice="-2.014 3.658 -0.307 -6.630 -2.944 8.419 7.461 4.739 7.533" Properties=species:S:1:pos:R:3 pbc="T T T"
Er -2.574 0.070 3.438
Er 1.391 5.384 12.207
Er -3.943 2.302 10.476
Er 2.760 3.151 5.169
Er -3.472 -0.081 7.544
Er 2.289 5.534 8.101
Er -0.812 3.444 3.536
Er -0.371 2.010 12.109
Er -0.640 1.393 6.524
Er -0.543 4.061 9.121
Er -6.871 0.538 8.653
Er 5.688 4.916 6.992
Ge -1.382 1.230 9.449
Ge 0.199 4.224 6.196
Ge -2.723 2.213 1.403
Ge 1.540 3.240 14.242
Ge -4.767 -0.532 10.668
Ge 3.584 5.985 4.977
Ge -3.405 2.168 5.350
Ge 2.222 3.285 10.295
Rh -0.382 1.155 1.988
Rh -0.801 4.299 13.657
Rh -2.920 2.645 7.845
Rh 1.737 2.809 7.800
```

Results
- theoretical density (Mg/m³) = 9.22
- energy of formation (eV/atom) = -0.893